The following is a PBE-GGA calculation of a geometry-optimized TcSb2Pt structure, from Alexandria.

Properties
- Total magnetization: 0.00 μB per formula unit
- Raw formation energy: -0.07 eV per atom
- Electronic total energy: -24.93 eV per formula unit
- Density of states at the Fermi level: 2.2 states/eV/f.u.
- Space group: Amm2

The structure in CIF format:
```
data_TcSb2Pt
_cell_length_a 5.5400
_cell_length_b 5.5400
_cell_length_c 4.2668
_cell_angle_alpha 89.99
_cell_angle_beta 89.99
_cell_angle_gamma 35.84
_symmetry_space_group_name_H-M 'P 1'
_symmetry_Int_Tables_number 1
_symmetry_space_group_name_Hall 'P 1'
loop_
_atom_site_label
_atom_site_fract_x
_atom_site_fract_y
_atom_site_fract_z
Pt1 0.2821 0.2821 0.1251
Sb1 0.0242 0.0242 0.1248
Sb2 0.7322 0.7322 0.6252
Tc1 0.4615 0.4615 0.6249
```

***

The following is a PBE-GGA calculation of a geometry-optimized AcLaPr6Sm2 structure, from Alexandria.

Properties
- Total magnetization: 0.00 μB per formula unit
- Electronic total energy: -46.05 eV per formula unit
- E_form: 110 meV/atom
- Density of states at the Fermi level: 14.9 states/eV/f.u.
- Space group: C2/c

The structure in CIF format:
```
data_AcLaPr6Sm2
_cell_length_a 10.0452
_cell_length_b 9.2140
_cell_length_c 9.2140
_cell_angle_alpha 118.43
_cell_angle_beta 93.52
_cell_angle_gamma 93.52
_symmetry_space_group_name_H-M 'P 1'
_symmetry_Int_Tables_number 1
_symmetry_space_group_name_Hall 'P 1'
loop_
_atom_site_label
_atom_site_fract_x
_atom_site_fract_y
_atom_site_fract_z
Ac1 0.2500 0.9734 0.0266
Ac2 0.7500 0.0266 0.9734
La1 0.2500 0.4071 0.5929
La2 0.7500 0.5929 0.4071
Pr1 0.0546 0.1186 0.7477
Pr2 0.4454 0.2523 0.8814
Pr3 0.9454 0.8814 0.2523
Pr4 0.5546 0.7477 0.1186
Pr5 0.3192 0.9770 0.4392
Pr6 0.1808 0.5608 0.0230
Pr7 0.6808 0.0230 0.5608
Pr8 0.8192 0.4392 0.9770
Pr9 0.1197 0.7051 0.4969
Pr10 0.3803 0.5031 0.2949
Pr11 0.8803 0.2949 0.5031
Pr12 0.6197 0.4969 0.7051
Sm1 0.4554 0.8076 0.6963
Sm2 0.0446 0.3037 0.1924
Sm3 0.5446 0.1924 0.3037
Sm4 0.9554 0.6963 0.8076
```

***

The following is a PBE-GGA calculation of a geometry-optimized NdTh2Al structure, from Alexandria.

Properties
- Total magnetization: 0.00 μB per formula unit
- Electronic total energy: -23.79 eV per formula unit
- E_form: -111 meV/atom
- Density of states at the Fermi level: 4.3 states/eV/f.u.
- Space group: P4/mmm

The structure in CIF format:
```
data_NdTh2Al
_cell_length_a 4.9190
_cell_length_b 4.8569
_cell_length_c 4.8569
_cell_angle_alpha 90.00
_cell_angle_beta 90.00
_cell_angle_gamma 90.00
_symmetry_space_group_name_H-M 'P 1'
_symmetry_Int_Tables_number 1
_symmetry_space_group_name_Hall 'P 1'
loop_
_atom_site_label
_atom_site_fract_x
_atom_site_fract_y
_atom_site_fract_z
Nd1 0.5000 0.5000 0.5000
Al1 0.5000 0.0000 0.0000
Th1 0.0000 0.0000 0.5000
Th2 0.0000 0.5000 0.0000
```

***

The following is a PBE-GGA calculation of a geometry-optimized Mn2Ni3 structure, from Alexandria.

Properties
- Total magnetization: 8.64 μB per formula unit
- Electronic total energy: -34.32 eV per formula unit
- E_form: 272 meV/atom
- Density of states at the Fermi level: 4.8 states/eV/f.u.
- Space group: P-3m1

The structure in CIF format:
```
data_Mn2Ni3
_cell_length_a 3.9706
_cell_length_b 3.9706
_cell_length_c 4.8810
_cell_angle_alpha 90.00
_cell_angle_beta 90.00
_cell_angle_gamma 120.00
_symmetry_space_group_name_H-M 'P 1'
_symmetry_Int_Tables_number 1
_symmetry_space_group_name_Hall 'P 1'
loop_
_atom_site_label
_atom_site_fract_x
_atom_site_fract_y
_atom_site_fract_z
Mn1 0.6667 0.3333 0.1700
Mn2 0.3333 0.6667 0.8300
Ni1 0.0000 0.0000 0.0000
Ni2 0.6667 0.3333 0.6588
Ni3 0.3333 0.6667 0.3412
```